Record 1
First-principles (GGA-PBE) data for Tb4DyTh after structural relaxation, as listed in the Alexandria database.

Cell and atoms, written as POSCAR:
```
Tb4DyTh
1.0
6.605 -0.690 0.000
-2.614 8.526 0.000
-1.995 -3.918 7.294
Tb Dy Th
8 2 2
Direct
0.204 0.579 0.757
0.052 0.178 0.757
0.948 0.822 0.243
0.358 0.897 0.612
0.754 0.715 0.612
0.246 0.285 0.388
0.642 0.103 0.388
0.796 0.421 0.243
0.660 0.410 0.819
0.340 0.590 0.181
0.749 0.999 0.998
0.251 0.001 0.002
```

Polymorph energy (0 for the lowest one)   13.6 kJ per mole of atoms
Energy relative to the elements   0.165 eV/atom
Uncorrected energy   -4.9251 eV/atom
Fermi-level density of states   1.593 states/eV/atom

Record 2
First-principles (GGA-PBE) data for Tb2Dy6Th3 after structural relaxation, as listed in the Alexandria database.

Cell and atoms, written as POSCAR:
```
Tb2Dy6Th3
1.0
-2.945 1.918 -0.601
-2.703 -1.414 -1.846
-14.512 -10.793 26.073
Dy Th Tb
6 3 2
Direct
0.090 0.090 0.730
0.818 0.818 0.546
0.363 0.363 0.910
0.182 0.182 0.454
0.637 0.637 0.090
0.910 0.910 0.270
0.273 0.273 0.182
0.727 0.727 0.818
0.000 0.000 0.000
0.545 0.545 0.364
0.455 0.455 0.636
```

Energy relative to the elements   0.023 eV/atom
Uncorrected energy   -5.3527 eV/atom
Fermi-level density of states   1.425 states/eV/atom

Record 3
First-principles (GGA-PBE) data for TbDy12Th3 after structural relaxation, as listed in the Alexandria database.

Cell and atoms, written as POSCAR:
```
TbDy12Th3
1.0
-1.046 4.870 0.656
-4.493 -0.676 -2.145
-7.930 -4.116 17.909
Dy Th Tb
12 3 1
Direct
0.500 0.500 0.500
0.000 0.500 0.874
0.500 0.000 0.874
0.500 0.500 0.000
0.500 0.000 0.625
0.000 0.500 0.625
0.000 0.500 0.126
0.500 0.000 0.126
0.500 0.500 0.750
0.500 0.500 0.250
0.000 0.500 0.375
0.500 0.000 0.375
0.000 0.000 0.500
0.000 0.000 0.749
0.000 0.000 0.251
0.000 0.000 0.000
```

Energy relative to the elements   0.034 eV/atom
Uncorrected energy   -5.0986 eV/atom
Fermi-level density of states   1.424 states/eV/atom

Record 4
First-principles (GGA-PBE) data for TbDy4Th2 after structural relaxation, as listed in the Alexandria database.

Cell and atoms, written as POSCAR:
```
TbDy4Th2
1.0
-4.556 -1.444 -2.820
3.145 -2.669 -3.714
0.119 -4.941 7.798
Dy Th Tb
4 2 1
Direct
0.000 0.500 0.000
0.819 0.819 0.638
0.500 0.000 0.000
0.181 0.181 0.362
0.613 0.613 0.226
0.387 0.387 0.774
0.000 0.000 0.000
```

Polymorph energy (0 for the lowest one)   66.6 kJ per mole of atoms
Energy relative to the elements   0.806 eV/atom
Uncorrected energy   -4.6050 eV/atom
Fermi-level density of states   1.935 states/eV/atom

Record 5
First-principles (GGA-PBE) data for Tb2DyTh4 after structural relaxation, as listed in the Alexandria database.

Cell and atoms, written as POSCAR:
```
Tb2DyTh4
1.0
5.682 0.000 0.000
0.000 5.682 0.000
-2.841 -2.841 8.169
Tb Dy Th
2 1 4
Direct
0.614 0.614 0.229
0.386 0.386 0.771
0.000 0.000 0.000
0.000 0.500 0.000
0.187 0.187 0.374
0.500 0.000 0.000
0.813 0.813 0.626
```

Polymorph energy (0 for the lowest one)   85.2 kJ per mole of atoms
Energy relative to the elements   0.965 eV/atom
Uncorrected energy   -5.2553 eV/atom
Fermi-level density of states   2.441 states/eV/atom

Record 6
First-principles (GGA-PBE) data for TbDy4Th after structural relaxation, as listed in the Alexandria database.

Cell and atoms, written as POSCAR:
```
TbDy4Th
1.0
6.587 -0.711 0.000
-2.630 8.550 0.000
-1.979 -3.919 7.260
Th Dy Tb
2 8 2
Direct
0.250 0.000 0.001
0.750 0.000 0.999
0.798 0.424 0.250
0.362 0.898 0.613
0.249 0.285 0.387
0.049 0.174 0.750
0.202 0.576 0.750
0.638 0.102 0.387
0.751 0.715 0.613
0.951 0.826 0.250
0.339 0.589 0.179
0.661 0.411 0.821
```

Polymorph energy (0 for the lowest one)   13.6 kJ per mole of atoms
Energy relative to the elements   0.165 eV/atom
Uncorrected energy   -4.9116 eV/atom
Fermi-level density of states   1.615 states/eV/atom